# 1
{
  "formula": "TaIn2Ni",
  "functional": "PBE",
  "state": "relaxed",
  "total_energy_ev_per_cell": -22.1,
  "m_tot_mub_per_fu": 0.00,
  "spacegroup": "P4/mmm",
  "lattice": [[-0.126, 0.621, -4.727], [-2.860, -3.793, -0.422], [-2.561, 1.896, 0.317]],
  "species": ["In", "In", "Ni", "Ta"],
  "fractional_positions": [[0.000, 0.000, 0.000], [0.500, 0.500, 0.000], [0.500, 0.000, 0.500], [0.000, 0.500, 0.500]]
}



# 2
{
  "formula": "Tb12InNi6",
  "functional": "PBE",
  "state": "relaxed",
  "total_energy_ev_per_cell": -99.8,
  "m_tot_mub_per_fu": 0.00,
  "spacegroup": "Im-3",
  "lattice": [[8.446, 0.000, 0.000], [-2.815, 7.963, 0.000], [-2.815, -3.981, 6.896]],
  "species": ["Tb", "Tb", "Tb", "Tb", "Tb", "Tb", "Tb", "Tb", "Tb", "Tb", "Tb", "Tb", "In", "Ni", "Ni", "Ni", "Ni", "Ni", "Ni"],
  "fractional_positions": [[0.304, 0.117, 0.813], [0.304, 0.491, 0.187], [0.696, 0.509, 0.813], [0.696, 0.883, 0.187], [0.117, 0.813, 0.304], [0.491, 0.187, 0.304], [0.509, 0.813, 0.696], [0.883, 0.187, 0.696], [0.813, 0.304, 0.117], [0.187, 0.304, 0.491], [0.813, 0.696, 0.509], [0.187, 0.696, 0.883], [0.000, 0.000, 0.000], [0.377, 0.500, 0.877], [0.623, 0.500, 0.123], [0.500, 0.877, 0.377], [0.500, 0.123, 0.623], [0.877, 0.377, 0.500], [0.123, 0.623, 0.500]]
}